## RbPaW (PBE)

Data for a relaxed RbPaW crystal.

a b c (Å): 4.949 4.949 4.949
angles (deg): 60.00 60.00 60.00
Sites, in units of the cell vectors:
Rb 0.000 0.000 0.000
Pa 0.500 0.500 0.500
W 0.250 0.250 0.250

Calculated values
- M_tot (μB/cell) = 0.01
- symmetry = F-43m, No. 216
- VASP energy (eV/atom) = -5.747


## PrNdHg6 (PBE)

Data for a relaxed PrNdHg6 crystal.

a b c (Å): 6.700 6.700 5.064
angles (deg): 90.00 90.00 120.00
Sites, in units of the cell vectors:
Pr 0.000 0.000 0.000
Nd 0.333 0.667 0.500
Hg 0.340 0.170 0.500
Hg 0.503 0.005 0.000
Hg 0.503 0.497 0.000
Hg 0.830 0.170 0.500
Hg 0.830 0.660 0.500
Hg 0.995 0.497 0.000

Calculated values
- formation energy (meV per atom) = -391
- M_tot (μB/cell) = 0.00
- symmetry = P-6m2, No. 187
- VASP energy (eV/atom) = -1.806


## RbMgNiAs (PBE)

Data for a relaxed RbMgNiAs crystal.

a b c (Å): 5.065 5.065 5.065
angles (deg): 60.00 60.00 60.00
Sites, in units of the cell vectors:
Rb 0.000 0.000 0.000
Mg 0.500 0.500 0.500
Ni 0.750 0.750 0.750
As 0.250 0.250 0.250

Calculated values
- polymorph energy (0 for the lowest one) (eV per atom) = 0.0527
- M_tot (μB/cell) = 0.48
- symmetry = F-43m, No. 216
- VASP energy (eV/atom) = -2.712